one | ## BeZnCr (PBE-GGA)

Data for a relaxed BeZnCr crystal.

**Density of states at the Fermi level**: 0.675 states/eV per atom
**Magnetization**: 6.37 Bohr magnetons per cell

abc: 3.905 5.124 6.968
angles: 90.00 90.00 90.00
Space group Immm (No. 71)
Symmetry-distinct sites (fractional):
Be (0.000, 0.000, 0.154) (multiplicity 4)
Zn (0.000, 0.500, 0.175) (multiplicity 4)
Cr (0.000, 0.258, 0.500) (multiplicity 4)

two | ## BeZnCr (PBE-GGA)

Data for a relaxed BeZnCr crystal.

**Density of states at the Fermi level**: 0.682 states/eV per atom
**Magnetization**: 1.74 Bohr magnetons per cell

abc: 3.9533 3.9533 2.5920
angles: 90.00 90.00 120.00
Space group P-6m2 (No. 187)
Symmetry-distinct sites (fractional):
Be (0.0000, 0.0000, 0.0000) (multiplicity 1)
Zn (0.6667, 0.3333, 0.0000) (multiplicity 1)
Cr (0.3333, 0.6667, 0.5000) (multiplicity 1)

Last place for stability: two

one | ## Be3ZnCr (PBE-GGA)

Data for a relaxed Be3ZnCr crystal.

**Density of states at the Fermi level**: 0.601 states/eV per atom
**Magnetization**: 0.00 Bohr magnetons per cell

abc: 4.107 4.107 4.107
angles: 90.00 90.00 90.00
Space group Pm-3m (No. 221)
Symmetry-distinct sites (fractional):
Be (0.000, 0.000, 0.500) (multiplicity 3)
Zn (0.500, 0.500, 0.500) (multiplicity 1)
Cr (0.000, 0.000, 0.000) (multiplicity 1)

two | ## Be3ZnCr (PBE-GGA)

Data for a relaxed Be3ZnCr crystal.

**Density of states at the Fermi level**: 1.294 states/eV per atom
**Magnetization**: 0.08 Bohr magnetons per cell

abc: 3.946 3.946 3.946
angles: 90.00 90.00 90.00
Space group Pm-3m (No. 221)
Symmetry-distinct sites (fractional):
Be (0.000, 0.000, 0.500) (multiplicity 3)
Zn (0.000, 0.000, 0.000) (multiplicity 1)
Cr (0.500, 0.500, 0.500) (multiplicity 1)

Last place for stability: one